PBE Pm3CuAu2, relaxed; total energy = -4.727 eV per atom; energy above the most stable polymorph in this dataset = 0.000 eV/atom; crystal system = tetragonal; energy relative to the elements = -0.577 eV per atom
1.0
-2.5904 -0.1353 -2.5706
2.1334 -2.1537 -2.0365
-4.3383 -8.8726 4.8386
Pm Cu Au
3 1 2
Direct
0.0000 0.0000 0.0000 Pm
0.0000 0.0000 0.6607 Pm
0.0000 0.0000 0.3393 Pm
0.5000 0.5000 0.5000 Cu
0.5000 0.5000 0.8278 Au
0.5000 0.5000 0.1722 Au

---

PBE Pm2CuAu3, relaxed; total energy = -4.566 eV per atom; crystal system = orthorhombic; energy relative to the elements = -0.661 eV per atom
1.0
-3.0569 -1.3599 1.4082
-1.2486 -1.5462 -4.2036
3.7458 -6.9317 1.4371
Pm Cu Au
2 1 3
Direct
0.0000 0.5000 0.0035 Pm
0.0000 0.0000 0.4996 Pm
0.5000 0.5000 0.3253 Cu
0.5000 0.0000 0.8390 Au
0.5000 0.0000 0.1849 Au
0.5000 0.5000 0.6476 Au